No. 1
A relaxed Ag2OsSe crystal. Source: Alexandria via LeMat-Bulk, functional PBE-GGA.

Symmetry ... P2/m
Raw total energy ... -17.79 eV/cell

```
data_Ag2OsSe
_chemical_formula_sum 'Ag2 Os1 Se1'
_symmetry_space_group_name_H-M 'P 1'
_symmetry_Int_Tables_number 1
_symmetry_space_group_name_Hall 'P 1'
_cell_length_a 2.8481
_cell_length_b 5.1693
_cell_length_c 4.8454
_cell_angle_alpha 90.00
_cell_angle_beta 91.83
_cell_angle_gamma 90.00
loop_
_atom_site_label
_atom_site_type_symbol
_atom_site_fract_x
_atom_site_fract_y
_atom_site_fract_z
Ag1 Ag 0.2450 0.0000 0.2437
Ag2 Ag 0.7550 0.0000 0.7563
Os1 Os 0.5000 0.5000 0.0000
Se1 Se 0.5000 0.5000 0.5000
```

No. 2
A relaxed Th6Co3Rh2Au crystal. Source: Alexandria via LeMat-Bulk, functional PBE-GGA.

Symmetry ... C2/m
Formation enthalpy at 0 K ... -531 meV per atom

```
data_Th6Co3Rh2Au
_chemical_formula_sum 'Th6 Co3 Rh2 Au1'
_symmetry_space_group_name_H-M 'P 1'
_symmetry_Int_Tables_number 1
_symmetry_space_group_name_Hall 'P 1'
_cell_length_a 9.1176
_cell_length_b 9.1176
_cell_length_c 8.2929
_cell_angle_alpha 104.38
_cell_angle_beta 104.38
_cell_angle_gamma 25.30
loop_
_atom_site_label
_atom_site_type_symbol
_atom_site_fract_x
_atom_site_fract_y
_atom_site_fract_z
Th1 Th 0.0023 0.0023 0.2255
Th2 Th 0.3238 0.3238 0.4203
Th3 Th 0.3346 0.3346 0.9125
Th4 Th 0.6654 0.6654 0.0875
Th5 Th 0.6762 0.6762 0.5797
Th6 Th 0.9977 0.9977 0.7745
Co1 Co 0.1647 0.1647 0.3319
Co2 Co 0.5000 0.5000 0.0000
Co3 Co 0.8353 0.8353 0.6681
Rh1 Rh 0.1655 0.1655 0.8297
Rh2 Rh 0.8345 0.8345 0.1703
Au1 Au 0.5000 0.5000 0.5000
```

No. 3
A relaxed Pr8GeTe4As3 crystal. Source: Alexandria via LeMat-Bulk, functional PBE-GGA.

Symmetry ... R-3m
Raw total energy ... -92.92 eV/cell

```
data_Pr8GeTe4As3
_chemical_formula_sum 'Pr8 Ge1 Te4 As3'
_symmetry_space_group_name_H-M 'P 1'
_symmetry_Int_Tables_number 1
_symmetry_space_group_name_Hall 'P 1'
_cell_length_a 8.9555
_cell_length_b 8.9555
_cell_length_c 8.9555
_cell_angle_alpha 58.69
_cell_angle_beta 58.69
_cell_angle_gamma 58.69
loop_
_atom_site_label
_atom_site_type_symbol
_atom_site_fract_x
_atom_site_fract_y
_atom_site_fract_z
Pr1 Pr 0.2406 0.2406 0.2406
Pr2 Pr 0.2427 0.7400 0.7400
Pr3 Pr 0.2600 0.2600 0.7573
Pr4 Pr 0.2600 0.7573 0.2600
Pr5 Pr 0.7400 0.2427 0.7400
Pr6 Pr 0.7400 0.7400 0.2427
Pr7 Pr 0.7573 0.2600 0.2600
Pr8 Pr 0.7594 0.7594 0.7594
Ge1 Ge 0.5000 0.5000 0.5000
Te1 Te 0.0000 0.0000 0.0000
Te2 Te 0.0000 0.5000 0.5000
Te3 Te 0.5000 0.0000 0.5000
Te4 Te 0.5000 0.5000 0.0000
As1 As 0.0000 0.0000 0.5000
As2 As 0.0000 0.5000 0.0000
As3 As 0.5000 0.0000 0.0000
```

No. 4
A relaxed TiGeI2 crystal. Source: Alexandria via LeMat-Bulk, functional PBE-GGA.

Symmetry ... I-42d
Raw total energy ... -28.88 eV/cell

```
data_TiGeI2
_chemical_formula_sum 'Ti2 Ge2 I4'
_symmetry_space_group_name_H-M 'P 1'
_symmetry_Int_Tables_number 1
_symmetry_space_group_name_Hall 'P 1'
_cell_length_a 6.7472
_cell_length_b 6.7472
_cell_length_c 6.7472
_cell_angle_alpha 106.25
_cell_angle_beta 106.25
_cell_angle_gamma 116.12
loop_
_atom_site_label
_atom_site_type_symbol
_atom_site_fract_x
_atom_site_fract_y
_atom_site_fract_z
Ti1 Ti 0.0000 0.0000 0.0000
Ti2 Ti 0.7500 0.2500 0.5000
Ge1 Ge 0.2500 0.7500 0.5000
Ge2 Ge 0.5000 0.5000 0.0000
I1 I 0.0886 0.6250 0.9636
I2 I 0.3750 0.3386 0.4636
I3 I 0.6614 0.1250 0.0364
I4 I 0.8750 0.9114 0.5364
```

No. 5
A relaxed PmErIrAu crystal. Source: Alexandria via LeMat-Bulk, functional PBE-GGA.

Symmetry ... F-43m
Formation enthalpy at 0 K ... -767 meV per atom

```
data_PmErIrAu
_chemical_formula_sum 'Pm1 Er1 Ir1 Au1'
_symmetry_space_group_name_H-M 'P 1'
_symmetry_Int_Tables_number 1
_symmetry_space_group_name_Hall 'P 1'
_cell_length_a 5.0127
_cell_length_b 5.0127
_cell_length_c 5.0127
_cell_angle_alpha 60.00
_cell_angle_beta 60.00
_cell_angle_gamma 60.00
loop_
_atom_site_label
_atom_site_type_symbol
_atom_site_fract_x
_atom_site_fract_y
_atom_site_fract_z
Pm1 Pm 0.0000 0.0000 0.0000
Er1 Er 0.5000 0.5000 0.5000
Ir1 Ir 0.7500 0.7500 0.7500
Au1 Au 0.2500 0.2500 0.2500
```

No. 6
A relaxed Lu2GaRh crystal. Source: Alexandria via LeMat-Bulk, functional PBE-GGA.

Symmetry ... Fm-3m
Formation enthalpy at 0 K ... -751 meV per atom

```
data_Lu2GaRh
_chemical_formula_sum 'Lu2 Ga1 Rh1'
_symmetry_space_group_name_H-M 'P 1'
_symmetry_Int_Tables_number 1
_symmetry_space_group_name_Hall 'P 1'
_cell_length_a 4.8548
_cell_length_b 4.8548
_cell_length_c 4.8548
_cell_angle_alpha 60.00
_cell_angle_beta 60.00
_cell_angle_gamma 60.00
loop_
_atom_site_label
_atom_site_type_symbol
_atom_site_fract_x
_atom_site_fract_y
_atom_site_fract_z
Lu1 Lu 0.2500 0.2500 0.2500
Lu2 Lu 0.7500 0.7500 0.7500
Ga1 Ga 0.0000 0.0000 0.0000
Rh1 Rh 0.5000 0.5000 0.5000
```